Run w
# TbGeN

A geometry-optimized TbGeN structure (GGA-PBE, the Alexandria database).

M_tot, Bohr magnetons per cell: 0.00
Calculated volume, Å³ per atom: 19.0

abc: 3.4714 3.4714 18.9218
angles: 90.00 90.00 90.00
With the nearest neighbours (Å) after each atom.
Fractional coordinates of all 12 atoms:
Tb 0.0000 0.0000 0.1850  5 N 2.34-2.46
Tb 0.0000 0.0000 0.8150  5 N 2.34-2.46
Tb 0.5000 0.5000 0.3150  5 N 2.34-2.46
Tb 0.5000 0.5000 0.6850  5 N 2.34-2.46
Ge 0.0000 0.0000 0.4176  1 N 2.06
Ge 0.0000 0.0000 0.5824  1 N 2.06
Ge 0.5000 0.5000 0.0824  1 N 2.06
Ge 0.5000 0.5000 0.9176  1 N 2.06
N 0.0000 0.0000 0.3087  1 Ge 2.06
N 0.0000 0.0000 0.6913  1 Ge 2.06
N 0.5000 0.5000 0.1913  1 Ge 2.06
N 0.5000 0.5000 0.8087  1 Ge 2.06

***

Run x
# TbGeN

A geometry-optimized TbGeN structure (GGA-PBE, the Alexandria database).

M_tot, Bohr magnetons per cell: 0.00
Calculated volume, Å³ per atom: 18.6

abc: 3.8496 4.5564 6.6275
angles: 90.00 106.49 90.00
With the nearest neighbours (Å) after each atom.
Fractional coordinates of all 6 atoms:
Tb 0.1807 0.2500 0.3614  4 N 2.29-2.34
Tb 0.8193 0.7500 0.6387  4 N 2.29-2.34
Ge 0.4517 0.2500 0.8918  2 Ge 2.66, 2 N 2.84-2.90
Ge 0.5483 0.7500 0.1082  2 Ge 2.66, 2 N 2.84-2.90
N 0.2231 0.7500 0.4430  4 Tb 2.29-2.34
N 0.7769 0.2500 0.5570  4 Tb 2.29-2.34

***

The data favor run w; the next most stable structure lies 23.4 kJ/mol of atoms above it.

***

Run w
# TcGe3N

A geometry-optimized TcGe3N structure (GGA-PBE, the Alexandria database).

M_tot, Bohr magnetons per cell: 1.75
Calculated volume, Å³ per atom: 15.0

abc: 4.2185 4.2185 4.2185
angles: 90.00 90.00 90.00
With the nearest neighbours (Å) after each atom.
Fractional coordinates of all 5 atoms:
Tc 0.0000 0.0000 0.0000  12 Ge 2.98
Ge 0.0000 0.5000 0.5000  2 N 2.11
Ge 0.5000 0.0000 0.5000  2 N 2.11
Ge 0.5000 0.5000 0.0000  2 N 2.11
N 0.5000 0.5000 0.5000  6 Ge 2.11

***

Run x
# TcGe3N

A geometry-optimized TcGe3N structure (GGA-PBE, the Alexandria database).

M_tot, Bohr magnetons per cell: 2.00
Calculated volume, Å³ per atom: 21.8

abc: 4.7783 4.7783 4.7783
angles: 90.00 90.00 90.00
With the nearest neighbours (Å) after each atom.
Fractional coordinates of all 5 atoms:
Tc 0.0000 0.0000 0.0000  6 Ge 2.39
Ge 0.0000 0.0000 0.5000  2 Tc 2.39
Ge 0.0000 0.5000 0.0000  2 Tc 2.39
Ge 0.5000 0.0000 0.0000  2 Tc 2.39
N 0.5000 0.5000 0.5000  12 Ge 3.38

***

The data favor run w; the next most stable structure lies 23.5 kJ/mol of atoms above it.

***

Run w
# GeTe3N

A geometry-optimized GeTe3N structure (GGA-PBE, the Alexandria database).

M_tot, Bohr magnetons per cell: 0.00
Calculated volume, Å³ per atom: 22.1

abc: 4.8008 4.8008 4.8008
angles: 90.00 90.00 90.00
With the nearest neighbours (Å) after each atom.
Fractional coordinates of all 5 atoms:
Ge 0.0000 0.0000 0.0000  12 Te 3.39
Te 0.0000 0.5000 0.5000  2 N 2.40
Te 0.5000 0.0000 0.5000  2 N 2.40
Te 0.5000 0.5000 0.0000  2 N 2.40
N 0.5000 0.5000 0.5000  6 Te 2.40

***

Run x
# GeTe3N

A geometry-optimized GeTe3N structure (GGA-PBE, the Alexandria database).

M_tot, Bohr magnetons per cell: 0.00
Calculated volume, Å³ per atom: 30.1

abc: 5.3207 5.3207 5.3207
angles: 90.00 90.00 90.00
With the nearest neighbours (Å) after each atom.
Fractional coordinates of all 5 atoms:
Ge 0.0000 0.0000 0.0000  6 Te 2.66
Te 0.0000 0.0000 0.5000  2 Ge 2.66
Te 0.0000 0.5000 0.0000  2 Ge 2.66
Te 0.5000 0.0000 0.0000  2 Ge 2.66
N 0.5000 0.5000 0.5000  12 Te 3.76

***

The data favor run w; the next most stable structure lies 103.0 kJ/mol of atoms above it.

***

Run w
# Ge3TeN

A geometry-optimized Ge3TeN structure (GGA-PBE, the Alexandria database).

M_tot, Bohr magnetons per cell: 0.00
Calculated volume, Å³ per atom: 19.4

abc: 4.5933 4.5933 4.5933
angles: 90.00 90.00 90.00
With the nearest neighbours (Å) after each atom.
Fractional coordinates of all 5 atoms:
Ge 0.0000 0.0000 0.5000  2 N 2.30
Ge 0.0000 0.5000 0.0000  2 N 2.30
Ge 0.5000 0.0000 0.0000  2 N 2.30
Te 0.5000 0.5000 0.5000  12 Ge 3.25
N 0.0000 0.0000 0.0000  6 Ge 2.30

***

Run x
# Ge3TeN

A geometry-optimized Ge3TeN structure (GGA-PBE, the Alexandria database).

M_tot, Bohr magnetons per cell: 0.00
Calculated volume, Å³ per atom: 32.2

abc: 5.4376 5.4376 5.4376
angles: 90.00 90.00 90.00
With the nearest neighbours (Å) after each atom.
Fractional coordinates of all 5 atoms:
Ge 0.0000 0.0000 0.5000  2 Te 2.72
Ge 0.0000 0.5000 0.0000  2 Te 2.72
Ge 0.5000 0.0000 0.0000  2 Te 2.72
Te 0.0000 0.0000 0.0000  6 Ge 2.72
N 0.5000 0.5000 0.5000  12 Ge 3.84

***

The data favor run w; the next most stable structure lies 145.0 kJ/mol of atoms above it.

***

Run w
# TlGeTeN2

A geometry-optimized TlGeTeN2 structure (GGA-PBE, the Alexandria database).

M_tot, Bohr magnetons per cell: 0.00
Calculated volume, Å³ per atom: 19.0

abc: 4.0450 4.0450 5.8176
angles: 90.00 90.00 90.00
With the nearest neighbours (Å) after each atom.
Fractional coordinates of all 5 atoms:
Tl 0.0000 0.0000 0.0000  4 Te 2.86
Ge 0.5000 0.5000 0.5000  4 N 2.02
Te 0.5000 0.5000 0.0000  4 Tl 2.86, 2 Ge 2.91
N 0.0000 0.5000 0.5000  2 Ge 2.02
N 0.5000 0.0000 0.5000  2 Ge 2.02

***

Run x
# TlGeTeN2

A geometry-optimized TlGeTeN2 structure (GGA-PBE, the Alexandria database).

M_tot, Bohr magnetons per cell: 2.87
Calculated volume, Å³ per atom: 24.3

abc: 4.3922 4.3922 6.2881
angles: 90.00 90.00 90.00
With the nearest neighbours (Å) after each atom.
Fractional coordinates of all 5 atoms:
Tl 0.0000 0.0000 0.0000  4 N 2.20
Ge 0.5000 0.5000 0.5000  4 Te 3.11
Te 0.0000 0.0000 0.5000  4 Ge 3.11, 2 Tl 3.14
N 0.0000 0.5000 0.0000  2 Tl 2.20
N 0.5000 0.0000 0.0000  2 Tl 2.20

***

The data favor run w; the next most stable structure lies 50.5 kJ/mol of atoms above it.

***

Run w
# GeTe2WN

A geometry-optimized GeTe2WN structure (GGA-PBE, the Alexandria database).

M_tot, Bohr magnetons per cell: 0.00
Calculated volume, Å³ per atom: 22.8

abc: 5.4721 5.4721 3.8150
angles: 90.00 90.00 90.00
With the nearest neighbours (Å) after each atom.
Fractional coordinates of all 5 atoms:
Ge 0.0000 0.0000 0.0000  8 Te 3.34
Te 0.0000 0.5000 0.5000  2 W 2.74
Te 0.5000 0.0000 0.5000  2 W 2.74
W 0.5000 0.5000 0.5000  2 N 1.91
N 0.5000 0.5000 0.0000  2 W 1.91

***

Run x
# GeTe2WN

A geometry-optimized GeTe2WN structure (GGA-PBE, the Alexandria database).

M_tot, Bohr magnetons per cell: 2.73
Calculated volume, Å³ per atom: 21.2

abc: 5.5044 5.5044 3.4921
angles: 90.00 90.00 90.00
With the nearest neighbours (Å) after each atom.
Fractional coordinates of all 5 atoms:
Ge 0.0000 0.0000 0.0000  2 N 1.75
Te 0.0000 0.5000 0.0000  2 Ge 2.75
Te 0.5000 0.0000 0.0000  2 Ge 2.75
W 0.5000 0.5000 0.5000  8 Te 3.26, 2 W 3.49
N 0.0000 0.0000 0.5000  2 Ge 1.75

***

The data favor run w; the next most stable structure lies 91.4 kJ/mol of atoms above it.